1.
The following is a PBE calculation of NiH2Se after structural relaxation, from Alexandria. Values from VASP.

Quantum ESPRESSO input file:
```
&SYSTEM
  ibrav = 0, nat = 8, ntyp = 3
/
ATOMIC_SPECIES
Ni 58.69 Ni.upf
Se 78.96 Se.upf
H 1.01 H.upf
CELL_PARAMETERS angstrom
3.523 0.000 0.000
0.000 3.523 0.000
1.761 1.761 6.209
ATOMIC_POSITIONS crystal
Ni 0.500 0.500 0.000
Ni 0.250 0.750 0.500
Se 0.000 0.000 0.000
Se 0.750 0.250 0.500
H 0.398 0.125 0.250
H 0.352 0.625 0.250
H 0.375 0.602 0.750
H 0.875 0.648 0.750
```

SG: I-42d, No. 122
energy above the lowest structure with this stoichiometry: 0.346 eV per atom
D(E_F): 0.45 states/eV per atom
size of the total moment: 0.00 μB/f.u.
theoretical density: 6.02 g/cm³

---

2.
The following is a PBE calculation of NiHSe after structural relaxation, from Alexandria. Values from VASP.

Quantum ESPRESSO input file:
```
&SYSTEM
  ibrav = 0, nat = 6, ntyp = 3
/
ATOMIC_SPECIES
Ni 58.69 Ni.upf
Se 78.96 Se.upf
H 1.01 H.upf
CELL_PARAMETERS angstrom
-1.797 -3.394 -1.180
1.719 0.346 -3.615
4.227 -2.842 1.738
ATOMIC_POSITIONS crystal
Ni 0.000 0.000 0.500
Ni 0.500 0.500 0.500
Se 0.000 0.500 0.273
Se 0.500 0.000 0.727
H 0.000 0.500 0.989
H 0.500 0.000 0.011
```

energy: -4.113 eV per atom
SG: P4/nmm, No. 129
D(E_F): 0.74 states/eV per atom
size of the total moment: 0.00 μB/f.u.
theoretical density: 5.30 g/cm³

---

3.
The following is a PBE calculation of Ni12H5Se3 after structural relaxation, from Alexandria. Values from VASP.

Quantum ESPRESSO input file:
```
&SYSTEM
  ibrav = 0, nat = 80, ntyp = 3
/
ATOMIC_SPECIES
Se 78.96 Se.upf
H 1.01 H.upf
Ni 58.69 Ni.upf
CELL_PARAMETERS angstrom
-6.433 7.698 -1.350
-5.221 -8.586 1.220
5.639 1.718 8.229
ATOMIC_POSITIONS crystal
Se 0.750 0.375 0.125
Se 0.875 0.750 0.125
Se 0.375 0.750 0.625
Se 0.250 0.125 0.375
Se 0.875 0.125 0.250
Se 0.375 0.625 0.250
Se 0.625 0.375 0.750
Se 0.125 0.875 0.750
Se 0.750 0.875 0.625
Se 0.625 0.250 0.375
Se 0.125 0.250 0.875
Se 0.250 0.625 0.875
H 0.125 0.375 0.250
H 0.000 0.500 0.000
H 0.000 0.000 0.000
H 0.375 0.250 0.125
H 0.500 0.000 0.500
H 0.500 0.500 0.000
H 0.125 0.750 0.375
H 0.750 0.125 0.875
H 0.750 0.625 0.375
H 0.375 0.125 0.750
H 0.625 0.875 0.250
H 0.500 0.500 0.500
H 0.500 0.000 0.000
H 0.000 0.000 0.500
H 0.250 0.375 0.625
H 0.250 0.875 0.125
H 0.000 0.500 0.500
H 0.875 0.250 0.625
H 0.625 0.750 0.875
H 0.875 0.625 0.750
Ni 0.694 0.101 0.008
Ni 0.314 0.508 0.408
Ni 0.992 0.399 0.306
Ni 0.508 0.194 0.101
Ni 0.594 0.694 0.686
Ni 0.992 0.592 0.186
Ni 0.314 0.806 0.406
Ni 0.092 0.906 0.101
Ni 0.592 0.992 0.686
Ni 0.694 0.594 0.186
Ni 0.806 0.492 0.399
Ni 0.814 0.908 0.008
Ni 0.101 0.694 0.508
Ni 0.399 0.408 0.094
Ni 0.094 0.908 0.399
Ni 0.406 0.101 0.592
Ni 0.094 0.186 0.194
Ni 0.492 0.686 0.092
Ni 0.814 0.906 0.306
Ni 0.101 0.406 0.092
Ni 0.399 0.992 0.806
Ni 0.592 0.601 0.406
Ni 0.908 0.814 0.508
Ni 0.806 0.314 0.906
Ni 0.408 0.399 0.594
Ni 0.092 0.186 0.492
Ni 0.194 0.686 0.094
Ni 0.186 0.094 0.694
Ni 0.601 0.008 0.194
Ni 0.899 0.594 0.908
Ni 0.508 0.314 0.908
Ni 0.594 0.899 0.408
Ni 0.906 0.814 0.806
Ni 0.906 0.092 0.601
Ni 0.899 0.306 0.492
Ni 0.186 0.092 0.992
Ni 0.601 0.592 0.906
Ni 0.408 0.008 0.314
Ni 0.306 0.406 0.814
Ni 0.194 0.508 0.601
Ni 0.908 0.094 0.899
Ni 0.686 0.194 0.594
Ni 0.492 0.806 0.899
Ni 0.008 0.408 0.814
Ni 0.406 0.306 0.314
Ni 0.008 0.601 0.694
Ni 0.686 0.492 0.592
Ni 0.306 0.899 0.992
```

energy: -4.866 eV per atom
SG: Ia-3d, No. 230
D(E_F): 0.49 states/eV per atom
size of the total moment: 0.00 μB/f.u.
theoretical density: 7.87 g/cm³